# 1
{"formula": "Ho8ZnTc2", "functional": "PBE", "state": "optimized geometry", "n_ef_per_ev_fu": 11.1, "e_tot_ev_per_cell": -59.16, "formation_energy_ev_per_atom": -0.049, "crystal_system": "monoclinic", "lattice_angstrom": [[4.339, -6.421, 0.000], [4.339, 6.421, 0.000], [-1.439, 0.000, 5.323]], "species": ["Ho", "Ho", "Ho", "Ho", "Ho", "Ho", "Ho", "Ho", "Zn", "Tc", "Tc"], "frac_coords": [[0.000, 0.000, 0.000], [0.047, 0.312, 0.610], [0.138, 0.617, 0.194], [0.312, 0.047, 0.610], [0.442, 0.707, 0.779], [0.617, 0.138, 0.194], [0.707, 0.442, 0.779], [0.756, 0.756, 0.388], [0.378, 0.378, 0.170], [0.062, 0.692, 0.694], [0.692, 0.062, 0.694]]}

***

# 2
{"formula": "SrZnGe", "functional": "PBE", "state": "optimized geometry", "n_ef_per_ev_fu": 1.8, "e_tot_ev_per_cell": -16.68, "formation_energy_ev_per_atom": -0.256, "crystal_system": "orthorhombic", "lattice_angstrom": [[2.086, -5.745, 0.000], [2.086, 5.745, 0.000], [0.000, 0.000, 6.114]], "species": ["Sr", "Sr", "Zn", "Zn", "Ge", "Ge"], "frac_coords": [[0.191, 0.809, 0.750], [0.809, 0.191, 0.250], [0.091, 0.909, 0.250], [0.909, 0.091, 0.750], [0.500, 0.500, 0.000], [0.500, 0.500, 0.500]]}

***

# 3
{"formula": "EuScN", "functional": "PBE", "state": "optimized geometry", "n_ef_per_ev_fu": 2.6, "e_tot_ev_per_cell": -27.75, "formation_energy_uncorrected_ev_per_atom": -0.940, "crystal_system": "trigonal", "lattice_angstrom": [[3.400, 0.000, 0.000], [-1.700, 2.945, 0.000], [0.000, 0.000, 6.117]], "species": ["Eu", "Sc", "N"], "frac_coords": [[0.000, 0.000, 0.000], [0.667, 0.333, 0.437], [0.333, 0.667, 0.283]]}

***

# 4
{"formula": "La5PrP6", "functional": "PBE", "state": "optimized geometry", "n_ef_per_ev_fu": 0.7, "e_tot_ev_per_cell": -80.68, "formation_energy_ev_per_atom": -1.567, "crystal_system": "monoclinic", "lattice_angstrom": [[3.693, -6.396, 0.000], [3.693, 6.396, 0.000], [-2.462, 0.000, 6.964]], "species": ["La", "La", "La", "La", "La", "Pr", "P", "P", "P", "P", "P", "P"], "frac_coords": [[0.000, 0.000, 0.000], [0.167, 0.833, 0.500], [0.333, 0.667, 0.000], [0.667, 0.333, 0.000], [0.833, 0.167, 0.500], [0.500, 0.500, 0.500], [0.085, 0.417, 0.251], [0.251, 0.251, 0.749], [0.417, 0.085, 0.251], [0.583, 0.915, 0.749], [0.749, 0.749, 0.251], [0.915, 0.583, 0.749]]}

***

# 5
{"formula": "RbIrOs", "functional": "PBE", "state": "optimized geometry", "e_above_lowest_polymorph_mev_per_atom": 9, "n_ef_per_ev_fu": 2.1, "e_tot_ev_per_cell": -38.83, "formation_energy_ev_per_atom": 0.548, "crystal_system": "monoclinic", "lattice_angstrom": [[3.500, -2.971, 0.000], [3.500, 2.971, 0.000], [0.000, 0.000, 8.040]], "species": ["Rb", "Rb", "Ir", "Ir", "Os", "Os"], "frac_coords": [[0.246, 0.246, 0.352], [0.754, 0.754, 0.648], [0.214, 0.214, 0.883], [0.786, 0.786, 0.117], [0.283, 0.717, 0.000], [0.717, 0.283, 0.000]]}

***

# 6
{"formula": "Li2Ni3H8", "functional": "PBE", "state": "optimized geometry", "e_above_lowest_polymorph_mev_per_atom": 48, "n_ef_per_ev_fu": 2.6, "e_tot_ev_per_cell": -49.69, "crystal_system": "tetragonal", "lattice_angstrom": [[3.208, 0.000, 0.000], [0.000, 3.208, 0.000], [0.000, 0.000, 8.858]], "species": ["Li", "Li", "Ni", "Ni", "Ni", "H", "H", "H", "H", "H", "H", "H", "H"], "frac_coords": [[0.000, 0.000, 0.186], [0.000, 0.000, 0.814], [0.500, 0.500, 0.000], [0.500, 0.500, 0.361], [0.500, 0.500, 0.639], [0.000, 0.500, 0.000], [0.000, 0.500, 0.363], [0.000, 0.500, 0.637], [0.500, 0.000, 0.000], [0.500, 0.000, 0.363], [0.500, 0.000, 0.637], [0.500, 0.500, 0.179], [0.500, 0.500, 0.821]]}

***

# 7
{"formula": "CaMn2Be", "functional": "PBE", "state": "optimized geometry", "n_ef_per_ev_fu": 3.7, "e_tot_ev_per_cell": -42.52, "formation_energy_ev_per_atom": 0.701, "crystal_system": "tetragonal", "lattice_angstrom": [[-2.140, 2.140, 8.288], [2.140, -2.140, 8.288], [2.140, 2.140, -8.288]], "species": ["Ca", "Ca", "Mn", "Mn", "Mn", "Mn", "Be", "Be"], "frac_coords": [[0.375, 0.625, 0.750], [0.625, 0.375, 0.250], [0.000, 0.000, 0.000], [0.000, 0.000, 0.500], [0.000, 0.500, 0.000], [0.500, 0.000, 0.500], [0.125, 0.875, 0.250], [0.875, 0.125, 0.750]]}

***

# 8
{"formula": "Sn2Pb5Au4", "functional": "PBE", "state": "optimized geometry", "n_ef_per_ev_fu": 4.3, "e_tot_ev_per_cell": -39.86, "formation_energy_ev_per_atom": -0.018, "crystal_system": "monoclinic", "lattice_angstrom": [[10.705, -1.762, 0.000], [10.705, 1.762, 0.000], [-2.011, 0.000, 7.885]], "species": ["Sn", "Sn", "Pb", "Pb", "Pb", "Pb", "Pb", "Au", "Au", "Au", "Au"], "frac_coords": [[0.073, 0.073, 0.127], [0.927, 0.927, 0.873], [0.000, 0.000, 0.500], [0.325, 0.325, 0.082], [0.331, 0.331, 0.511], [0.669, 0.669, 0.489], [0.675, 0.675, 0.918], [0.210, 0.210, 0.233], [0.469, 0.469, 0.182], [0.531, 0.531, 0.818], [0.790, 0.790, 0.767]]}

***

# 9
{"formula": "PrThTe2", "functional": "PBE", "state": "optimized geometry", "e_above_lowest_polymorph_mev_per_atom": 20, "n_ef_per_ev_fu": 3.6, "e_tot_ev_per_cell": -23.34, "formation_energy_uncorrected_ev_per_atom": -1.214, "crystal_system": "cubic", "lattice_angstrom": [[0.000, 3.866, 3.866], [3.866, 0.000, 3.866], [3.866, 3.866, 0.000]], "species": ["Pr", "Th", "Te", "Te"], "frac_coords": [[0.000, 0.000, 0.000], [0.500, 0.500, 0.500], [0.250, 0.250, 0.250], [0.750, 0.750, 0.750]]}

***

# 10
{"formula": "Ba6Sr12Ca", "functional": "PBE", "state": "optimized geometry", "e_above_lowest_polymorph_mev_per_atom": 18, "n_ef_per_ev_fu": 25.9, "e_tot_ev_per_cell": -32.28, "formation_energy_ev_per_atom": 0.076, "crystal_system": "trigonal", "lattice_angstrom": [[8.234, 4.754, 4.776], [-8.234, 4.754, 4.776], [0.000, -9.508, 4.776]], "species": ["Ba", "Ba", "Ba", "Ba", "Ba", "Ba", "Sr", "Sr", "Sr", "Sr", "Sr", "Sr", "Sr", "Sr", "Sr", "Sr", "Sr", "Sr", "Ca"], "frac_coords": [[0.081, 0.339, 0.340], [0.339, 0.340, 0.081], [0.340, 0.081, 0.339], [0.660, 0.919, 0.661], [0.661, 0.660, 0.919], [0.919, 0.661, 0.660], [0.095, 0.096, 0.681], [0.096, 0.681, 0.095], [0.241, 0.501, 0.759], [0.241, 0.759, 0.499], [0.319, 0.905, 0.904], [0.499, 0.241, 0.759], [0.501, 0.759, 0.241], [0.681, 0.095, 0.096], [0.759, 0.241, 0.501], [0.759, 0.499, 0.241], [0.904, 0.319, 0.905], [0.905, 0.904, 0.319], [0.500, 0.500, 0.500]]}

***

# 11
{"formula": "LaTbErCo", "functional": "PBE", "state": "optimized geometry", "n_ef_per_ev_fu": 3.9, "e_tot_ev_per_cell": -21.27, "formation_energy_ev_per_atom": -0.010, "crystal_system": "orthorhombic", "lattice_angstrom": [[3.507, 0.000, 0.000], [0.000, 2.365, 6.597], [0.000, -2.365, 6.597]], "species": ["La", "Tb", "Er", "Co"], "frac_coords": [[0.000, 0.000, 0.000], [0.500, 0.656, 0.656], [0.500, 0.335, 0.335], [0.000, 0.816, 0.816]]}

***

# 12
{"formula": "ScSe4Br", "functional": "PBE", "state": "optimized geometry", "n_ef_per_ev_fu": 0.8, "e_tot_ev_per_cell": -22.24, "formation_energy_uncorrected_ev_per_atom": -0.049, "crystal_system": "cubic", "lattice_angstrom": [[0.000, 4.042, 4.042], [4.042, 0.000, 4.042], [4.042, 4.042, 0.000]], "species": ["Sc", "Se", "Se", "Se", "Se", "Br"], "frac_coords": [[0.000, 0.000, 0.000], [0.122, 0.626, 0.626], [0.626, 0.122, 0.626], [0.626, 0.626, 0.122], [0.626, 0.626, 0.626], [0.250, 0.250, 0.250]]}